# 1
## Nd4CdTe (PBE)

Data for an optimized crystal structure of Nd4CdTe.

Cell and atoms, written as CIF:
```
data_Nd4CdTe
_chemical_formula_sum 'Nd8 Cd2 Te2'
_symmetry_space_group_name_H-M 'P 1 21/m 1'
_symmetry_Int_Tables_number 11
_symmetry_space_group_name_Hall '-P 2yb'
_cell_length_a 6.1197
_cell_length_b 8.8744
_cell_length_c 8.1859
_cell_angle_alpha 90.00
_cell_angle_beta 105.88
_cell_angle_gamma 90.00
loop_
_atom_site_label
_atom_site_fract_x
_atom_site_fract_y
_atom_site_fract_z
Nd1 0.0096 0.0528 0.2506
Nd2 0.3930 0.7500 0.5176
Nd3 0.4273 0.2500 0.0019
Cd1 0.1651 0.2500 0.5941
Te1 0.1148 0.7500 0.0872
```

Properties
The calculation puts the formation energy from raw total energies at -0.300 eV/atom. Its total energy is -4.1547 eV/atom.

# 2
## Nd2CdTe (PBE)

Data for an optimized crystal structure of Nd2CdTe.

Cell and atoms, written as CIF:
```
data_Nd2CdTe
_chemical_formula_sum 'Nd6 Cd3 Te3'
_symmetry_space_group_name_H-M 'R 3 m'
_symmetry_Int_Tables_number 160
_symmetry_space_group_name_Hall 'R 3 -2"'
_cell_length_a 4.1926
_cell_length_b 4.1926
_cell_length_c 25.5091
_cell_angle_alpha 90.00
_cell_angle_beta 90.00
_cell_angle_gamma 120.00
loop_
_atom_site_label
_atom_site_fract_x
_atom_site_fract_y
_atom_site_fract_z
Nd1 0.0000 0.0000 0.0000
Nd2 0.0000 0.0000 0.1647
Cd1 0.0000 0.0000 0.5817
Te1 0.0000 0.0000 0.7497
```

Properties
For the energy above the lowest structure with this stoichiometry, the calculation gives 0.26 eV per formula unit. The calculation puts the formation energy from raw total energies at -0.737 eV/atom. Its total energy is -4.1348 eV/atom.

# 3
## Nd2CdTe (PBE)

Data for an optimized crystal structure of Nd2CdTe.

Cell and atoms, written as CIF:
```
data_Nd2CdTe
_chemical_formula_sum 'Nd2 Cd1 Te1'
_symmetry_space_group_name_H-M 'P 4/m m m'
_symmetry_Int_Tables_number 123
_symmetry_space_group_name_Hall '-P 4 2'
_cell_length_a 3.9974
_cell_length_b 3.9974
_cell_length_c 7.2205
_cell_angle_alpha 90.00
_cell_angle_beta 90.00
_cell_angle_gamma 90.00
loop_
_atom_site_label
_atom_site_fract_x
_atom_site_fract_y
_atom_site_fract_z
Nd1 0.0000 0.0000 0.2476
Cd1 0.5000 0.5000 0.5000
Te1 0.5000 0.5000 0.0000
```

Properties
For the energy above the lowest structure with this stoichiometry, the calculation gives 0.12 eV per formula unit. The calculation puts the formation energy from raw total energies at -0.770 eV/atom. Its total energy is -4.1679 eV/atom.

# 4
## Nd2CdTe (PBE)

Data for an optimized crystal structure of Nd2CdTe.

Cell and atoms, written as CIF:
```
data_Nd2CdTe
_chemical_formula_sum 'Nd6 Cd3 Te3'
_symmetry_space_group_name_H-M 'R -3 m'
_symmetry_Int_Tables_number 166
_symmetry_space_group_name_Hall '-R 3 2"'
_cell_length_a 4.3333
_cell_length_b 4.3333
_cell_length_c 23.7401
_cell_angle_alpha 90.00
_cell_angle_beta 90.00
_cell_angle_gamma 120.00
loop_
_atom_site_label
_atom_site_fract_x
_atom_site_fract_y
_atom_site_fract_z
Nd1 0.0000 0.0000 0.2469
Cd1 0.0000 0.0000 0.0000
Te1 0.0000 0.0000 0.5000
```

Properties
For the energy above the lowest structure with this stoichiometry, the calculation gives 0.00 eV per formula unit. The calculation puts the formation energy from raw total energies at -0.801 eV/atom. Its total energy is -4.1991 eV/atom.

# 5
## NdTlCdTe3 (PBE)

Data for an optimized crystal structure of NdTlCdTe3.

Cell and atoms, written as CIF:
```
data_NdTlCdTe3
_chemical_formula_sum 'Nd2 Tl2 Cd2 Te6'
_symmetry_space_group_name_H-M 'P 1 21/m 1'
_symmetry_Int_Tables_number 11
_symmetry_space_group_name_Hall '-P 2yb'
_cell_length_a 9.5648
_cell_length_b 4.5747
_cell_length_c 10.5607
_cell_angle_alpha 90.00
_cell_angle_beta 105.45
_cell_angle_gamma 90.00
loop_
_atom_site_label
_atom_site_fract_x
_atom_site_fract_y
_atom_site_fract_z
Nd1 0.1751 0.2500 0.1419
Tl1 0.2938 0.7500 0.7826
Cd1 0.4142 0.7500 0.3947
Te1 0.0473 0.2500 0.8342
Te2 0.2706 0.2500 0.4705
Te3 0.4034 0.7500 0.1234
```

Properties
The calculation puts the formation energy from raw total energies at -0.827 eV/atom. Its total energy is -3.7391 eV/atom.

# 6
## Nd5ThCd4 (PBE)

Data for an optimized crystal structure of Nd5ThCd4.

Cell and atoms, written as CIF:
```
data_Nd5ThCd4
_chemical_formula_sum 'Nd5 Th1 Cd4'
_symmetry_space_group_name_H-M 'P 4/m m m'
_symmetry_Int_Tables_number 123
_symmetry_space_group_name_Hall '-P 4 2'
_cell_length_a 3.7656
_cell_length_b 3.7656
_cell_length_c 20.8232
_cell_angle_alpha 90.00
_cell_angle_beta 90.00
_cell_angle_gamma 90.00
loop_
_atom_site_label
_atom_site_fract_x
_atom_site_fract_y
_atom_site_fract_z
Nd1 0.0000 0.0000 0.0000
Nd2 0.0000 0.0000 0.1910
Nd3 0.0000 0.0000 0.3871
Th1 0.5000 0.5000 0.5000
Cd1 0.5000 0.5000 0.0949
Cd2 0.5000 0.5000 0.2886
```

Properties
The energy of formation from the pure elements comes out at -0.24 eV/atom. Its total energy is -3.7305 eV/atom.

# 7
## NdThCd (PBE)

Data for an optimized crystal structure of NdThCd.

Cell and atoms, written as CIF:
```
data_NdThCd
_chemical_formula_sum 'Nd2 Th2 Cd2'
_symmetry_space_group_name_H-M 'I 4 m m'
_symmetry_Int_Tables_number 107
_symmetry_space_group_name_Hall 'I 4 -2'
_cell_length_a 3.6967
_cell_length_b 3.6967
_cell_length_c 13.4778
_cell_angle_alpha 90.00
_cell_angle_beta 90.00
_cell_angle_gamma 90.00
loop_
_atom_site_label
_atom_site_fract_x
_atom_site_fract_y
_atom_site_fract_z
Nd1 0.0000 0.0000 0.0000
Th1 0.0000 0.0000 0.3137
Cd1 0.0000 0.0000 0.6537
```

Properties
For the energy above the lowest structure with this stoichiometry, the calculation gives 0.12 eV per formula unit. The energy of formation from the pure elements comes out at -0.09 eV/atom. Its total energy is -4.4568 eV/atom.

# 8
## Nd5ThCd6 (PBE)

Data for an optimized crystal structure of Nd5ThCd6.

Cell and atoms, written as CIF:
```
data_Nd5ThCd6
_chemical_formula_sum 'Nd10 Th2 Cd12'
_symmetry_space_group_name_H-M 'I m m m'
_symmetry_Int_Tables_number 71
_symmetry_space_group_name_Hall '-I 2 2'
_cell_length_a 5.4405
_cell_length_b 7.7102
_cell_length_c 16.3451
_cell_angle_alpha 90.00
_cell_angle_beta 90.00
_cell_angle_gamma 90.00
loop_
_atom_site_label
_atom_site_fract_x
_atom_site_fract_y
_atom_site_fract_z
Nd1 0.0000 0.0000 0.0000
Nd2 0.0000 0.0000 0.3358
Nd3 0.0000 0.5000 0.3324
Th1 0.0000 0.5000 0.0000
Cd1 0.0000 0.2483 0.1670
Cd2 0.0000 0.2540 0.5000
```

Properties
The energy of formation from the pure elements comes out at -0.27 eV/atom. Its total energy is -3.3309 eV/atom.

# 9
## NdThCd (PBE)

Data for an optimized crystal structure of NdThCd.

Cell and atoms, written as CIF:
```
data_NdThCd
_chemical_formula_sum 'Nd4 Th4 Cd4'
_symmetry_space_group_name_H-M 'C m c m'
_symmetry_Int_Tables_number 63
_symmetry_space_group_name_Hall '-C 2c 2'
_cell_length_a 3.6356
_cell_length_b 17.8416
_cell_length_c 5.6325
_cell_angle_alpha 90.00
_cell_angle_beta 90.00
_cell_angle_gamma 90.00
loop_
_atom_site_label
_atom_site_fract_x
_atom_site_fract_y
_atom_site_fract_z
Nd1 0.0000 0.0911 0.2500
Th1 0.0000 0.2262 0.7500
Cd1 0.0000 0.4374 0.2500
```

Properties
For the energy above the lowest structure with this stoichiometry, the calculation gives 0.00 eV per formula unit. The energy of formation from the pure elements comes out at -0.13 eV/atom. Its total energy is -4.4979 eV/atom.

# 10
## Nd3ThCd4 (PBE)

Data for an optimized crystal structure of Nd3ThCd4.

Cell and atoms, written as CIF:
```
data_Nd3ThCd4
_chemical_formula_sum 'Nd6 Th2 Cd8'
_symmetry_space_group_name_H-M 'P m m a'
_symmetry_Int_Tables_number 51
_symmetry_space_group_name_Hall '-P 2a 2a'
_cell_length_a 10.8909
_cell_length_b 7.7038
_cell_length_c 5.4467
_cell_angle_alpha 90.00
_cell_angle_beta 90.00
_cell_angle_gamma 90.00
loop_
_atom_site_label
_atom_site_fract_x
_atom_site_fract_y
_atom_site_fract_z
Nd1 0.0000 0.0000 0.0000
Nd2 0.2500 0.0000 0.4974
Nd3 0.2500 0.5000 0.4974
Th1 0.0000 0.5000 0.0000
Cd1 0.0000 0.2495 0.5000
Cd2 0.2500 0.2494 0.9970
```

Properties
The energy of formation from the pure elements comes out at -0.24 eV/atom. Its total energy is -3.4161 eV/atom.